No. 1
TiVCu: optimized geometry, PBE.

Geometry as CIF:
```
data_TiVCu
_symmetry_space_group_name_H-M 'P 4/n m m'
_symmetry_Int_Tables_number 129
_cell_length_a 3.1038
_cell_length_b 3.1038
_cell_length_c 8.7490
_cell_angle_alpha 90.00
_cell_angle_beta 90.00
_cell_angle_gamma 90.00
loop_
_symmetry_equiv_pos_as_xyz
'x,y,z'
'-x,-y,-z'
'-y+1/2,x,z'
'y+1/2,-x,-z'
'-x+1/2,-y+1/2,z'
'x+1/2,y+1/2,-z'
'y,-x+1/2,z'
'-y,x+1/2,-z'
'x+1/2,-y,-z'
'-x+1/2,y,z'
'-y,-x,-z'
'y,x,z'
'-x,y+1/2,-z'
'x,-y+1/2,z'
'y+1/2,x+1/2,-z'
'-y+1/2,-x+1/2,z'
loop_
_atom_site_label
_atom_site_fract_x
_atom_site_fract_y
_atom_site_fract_z
Ti1 0.2500 0.2500 0.2428
V1 0.2500 0.2500 0.5762
Cu1 0.2500 0.2500 0.9257
```



No. 2
CaScAs: optimized geometry, PBE.

Geometry as CIF:
```
data_CaScAs
_symmetry_space_group_name_H-M 'P 3 m 1'
_symmetry_Int_Tables_number 156
_cell_length_a 3.9658
_cell_length_b 3.9658
_cell_length_c 6.4011
_cell_angle_alpha 90.00
_cell_angle_beta 90.00
_cell_angle_gamma 120.00
loop_
_symmetry_equiv_pos_as_xyz
'x,y,z'
'-y,x-y,z'
'-x+y,-x,z'
'-y,-x,z'
'-x+y,y,z'
'x,x-y,z'
loop_
_atom_site_label
_atom_site_fract_x
_atom_site_fract_y
_atom_site_fract_z
Ca1 0.0000 0.0000 0.0000
Sc1 0.6667 0.3333 0.4971
As1 0.3333 0.6667 0.7051
```



No. 3
MgTlGa: optimized geometry, PBE.

Geometry as CIF:
```
data_MgTlGa
_symmetry_space_group_name_H-M 'P 1'
_symmetry_Int_Tables_number 1
_cell_length_a 3.8722
_cell_length_b 4.9541
_cell_length_c 8.7623
_cell_angle_alpha 91.86
_cell_angle_beta 101.93
_cell_angle_gamma 113.00
loop_
_symmetry_equiv_pos_as_xyz
'x,y,z'
loop_
_atom_site_label
_atom_site_fract_x
_atom_site_fract_y
_atom_site_fract_z
Mg1 0.0000 0.0000 0.0000
Mg2 0.4334 0.1298 0.7256
Tl1 0.4277 0.6223 0.2096
Tl2 0.8541 0.2462 0.4376
Ga1 0.2088 0.5712 0.8461
Ga2 0.6699 0.6902 0.6276
```



No. 4
# PBE ZrReAg, optimized geometry
data_ZrReAg
_symmetry_space_group_name_H-M 'F -4 3 m'
_symmetry_Int_Tables_number 216
_symmetry_space_group_name_Hall 'F -4 2 3'
_cell_length_a 6.3755
_cell_length_b 6.3755
_cell_length_c 6.3755
_cell_angle_alpha 90.00
_cell_angle_beta 90.00
_cell_angle_gamma 90.00
loop_
_atom_site_label
_atom_site_fract_x
_atom_site_fract_y
_atom_site_fract_z
Zr1 0.0000 0.0000 0.0000
Re1 0.2500 0.2500 0.2500
Ag1 0.0000 0.0000 0.5000
# * ΔE to the lowest computed polymorph: 692 meV per atom



No. 5
KCa: optimized geometry, PBE.

Geometry as CIF:
```
data_KCa
_symmetry_space_group_name_H-M 'F -4 3 m'
_symmetry_Int_Tables_number 216
_symmetry_space_group_name_Hall 'F -4 2 3'
_cell_length_a 9.2429
_cell_length_b 9.2429
_cell_length_c 9.2429
_cell_angle_alpha 90.00
_cell_angle_beta 90.00
_cell_angle_gamma 90.00
loop_
_atom_site_label
_atom_site_fract_x
_atom_site_fract_y
_atom_site_fract_z
K1 0.0000 0.0000 0.0000
Ca1 0.2500 0.2500 0.2500
```



No. 6
KAlIr2: optimized geometry, PBE.

Geometry as CIF:
```
data_KAlIr2
_symmetry_space_group_name_H-M 'R -3 m'
_symmetry_Int_Tables_number 166
_symmetry_space_group_name_Hall '-R 3 2"'
_cell_length_a 2.9345
_cell_length_b 2.9345
_cell_length_c 28.0083
_cell_angle_alpha 90.00
_cell_angle_beta 90.00
_cell_angle_gamma 120.00
loop_
_atom_site_label
_atom_site_fract_x
_atom_site_fract_y
_atom_site_fract_z
K1 0.0000 0.0000 0.0000
Al1 0.0000 0.0000 0.5000
Ir1 0.0000 0.0000 0.2335
```



No. 7
# PBE SrMgAl4, optimized geometry
data_SrMgAl4
_symmetry_space_group_name_H-M 'F -4 3 m'
_symmetry_Int_Tables_number 216
_symmetry_space_group_name_Hall 'F -4 2 3'
_cell_length_a 8.0211
_cell_length_b 8.0211
_cell_length_c 8.0211
_cell_angle_alpha 90.00
_cell_angle_beta 90.00
_cell_angle_gamma 90.00
loop_
_atom_site_label
_atom_site_fract_x
_atom_site_fract_y
_atom_site_fract_z
Sr1 0.0000 0.0000 0.0000
Mg1 0.2500 0.2500 0.2500
Al1 0.1250 0.1250 0.6250
# * ΔE to the lowest computed polymorph: 61 meV per atom



No. 8
# PBE Tm6Sb2As3Se, optimized geometry
data_Tm6Sb2As3Se
_symmetry_space_group_name_H-M 'C 1 2/m 1'
_symmetry_Int_Tables_number 12
_cell_length_a 18.1015
_cell_length_b 4.1395
_cell_length_c 8.3331
_cell_angle_alpha 90.00
_cell_angle_beta 103.63
_cell_angle_gamma 90.00
loop_
_symmetry_equiv_pos_as_xyz
'x,y,z'
'-x,-y,-z'
'-x,y,-z'
'x,-y,z'
'x+1/2,y+1/2,z'
'-x+1/2,-y+1/2,-z'
'-x+1/2,y+1/2,-z'
'x+1/2,-y+1/2,z'
loop_
_atom_site_label
_atom_site_fract_x
_atom_site_fract_y
_atom_site_fract_z
Tm1 0.0040 0.0000 0.2439
Tm2 0.1619 0.5000 0.0937
Tm3 0.1680 0.5000 0.5716
Sb1 0.1662 0.0000 0.8320
As1 0.0000 0.5000 0.0000
As2 0.1662 0.0000 0.3349
Se1 0.0000 0.5000 0.5000
# * energy relative to the elements, uncorrected: -1.41 eV per atom



No. 9
AlAg2Rh: optimized geometry, PBE.

Geometry as CIF:
```
data_AlAg2Rh
_symmetry_space_group_name_H-M 'P 1 2/m 1'
_symmetry_Int_Tables_number 10
_cell_length_a 2.9370
_cell_length_b 4.8469
_cell_length_c 4.5747
_cell_angle_alpha 90.00
_cell_angle_beta 92.56
_cell_angle_gamma 90.00
loop_
_symmetry_equiv_pos_as_xyz
'x,y,z'
'-x,-y,-z'
'-x,y,-z'
'x,-y,z'
loop_
_atom_site_label
_atom_site_fract_x
_atom_site_fract_y
_atom_site_fract_z
Al1 0.0000 0.0000 0.0000
Ag1 0.2399 0.5000 0.7506
Rh1 0.5000 0.0000 0.5000
```



No. 10
# PBE TmTl2AgI6, optimized geometry
data_TmTl2AgI6
_symmetry_space_group_name_H-M 'P 1 21/c 1'
_symmetry_Int_Tables_number 14
_cell_length_a 8.0423
_cell_length_b 8.5720
_cell_length_c 13.9343
_cell_angle_alpha 90.00
_cell_angle_beta 124.56
_cell_angle_gamma 90.00
loop_
_symmetry_equiv_pos_as_xyz
'x,y,z'
'-x,-y,-z'
'-x,y+1/2,-z+1/2'
'x,-y+1/2,z+1/2'
loop_
_atom_site_label
_atom_site_fract_x
_atom_site_fract_y
_atom_site_fract_z
Tm1 0.0000 0.0000 0.0000
Tl1 0.2889 0.0935 0.7546
Ag1 0.5000 0.0000 0.5000
I1 0.1400 0.0198 0.2512
I2 0.2337 0.7010 0.0513
I3 0.3578 0.1879 0.0513
# * energy relative to the elements, uncorrected: -0.84 eV per atom



No. 11
Ca2SnHgPb: optimized geometry, PBE.

Geometry as CIF:
```
data_Ca2SnHgPb
_symmetry_space_group_name_H-M 'P 1 21/m 1'
_symmetry_Int_Tables_number 11
_cell_length_a 7.5745
_cell_length_b 4.8848
_cell_length_c 8.1220
_cell_angle_alpha 90.00
_cell_angle_beta 105.53
_cell_angle_gamma 90.00
loop_
_symmetry_equiv_pos_as_xyz
'x,y,z'
'-x,-y,-z'
'-x,y+1/2,-z'
'x,-y+1/2,z'
loop_
_atom_site_label
_atom_site_fract_x
_atom_site_fract_y
_atom_site_fract_z
Ca1 0.0158 0.2500 0.1713
Ca2 0.4238 0.7500 0.6389
Sn1 0.3084 0.7500 0.1861
Hg1 0.3326 0.2500 0.9563
Pb1 0.1383 0.2500 0.5744
```



No. 12
# PBE PrSm2Tm3, optimized geometry
data_PrSm2Tm3
_symmetry_space_group_name_H-M 'C m c 21'
_symmetry_Int_Tables_number 36
_cell_length_a 9.4902
_cell_length_b 13.1532
_cell_length_c 6.3599
_cell_angle_alpha 90.00
_cell_angle_beta 90.00
_cell_angle_gamma 90.00
loop_
_symmetry_equiv_pos_as_xyz
'x,y,z'
'-x,-y,z+1/2'
'-x,y,z'
'x,-y,z+1/2'
'x+1/2,y+1/2,z'
'-x+1/2,-y+1/2,z+1/2'
'-x+1/2,y+1/2,z'
'x+1/2,-y+1/2,z+1/2'
loop_
_atom_site_label
_atom_site_fract_x
_atom_site_fract_y
_atom_site_fract_z
Pr1 0.0000 0.1750 0.0000
Sm1 0.1821 0.4440 0.2252
Tm1 0.0000 0.0827 0.4753
Tm2 0.1812 0.3026 0.6732
# * ΔE to the lowest computed polymorph: 146 meV per atom



Listing DFT total energy for the structures above in their given order: -42.76, -15.23, -13.85, -84.03, -5.77, -67.06, -74.98, -138.77, -17.21, -59.46, -28.34, -105.31 eV per cell.